La3TeBr: single point on PBEsol structure, SCAN.

abc: 5.950 5.950 5.950
angles: 90.00 90.00 90.00
Space group Pm-3m (No. 221)
Asymmetric unit:
La  0.000  0.000  0.500 [3 per cell]
Te  0.000  0.000  0.000 [1 per cell]
Br  0.500  0.500  0.500 [1 per cell]

N(E_F) in states/eV/f.u.: 4.9
Uncorrected formation energy in kJ/mol of formula units: -207
V in Å³/atom: 42.13
Electronic total energy in eV/cell: -188.17

=====

LaTe3Br: single point on PBEsol structure, SCAN.

abc: 5.462 5.462 5.462
angles: 90.00 90.00 90.00
Space group Pm-3m (No. 221)
Asymmetric unit:
La  0.000  0.000  0.000 [1 per cell]
Te  0.000  0.500  0.500 [3 per cell]
Br  0.500  0.500  0.500 [1 per cell]

N(E_F) in states/eV/f.u.: 4.1
Uncorrected formation energy in kJ/mol of formula units: -109
V in Å³/atom: 32.59
Relative energy among the computed polymorphs in meV per atom: 0
Electronic total energy in eV/cell: -175.45

=====

LaTe2Br: single point on PBEsol structure, SCAN.

abc: 7.692 7.692 7.692
angles: 90.00 90.00 90.00
Space group F-43m (No. 216)
Asymmetric unit:
La  0.000  0.000  0.000 [4 per cell]
Te  0.000  0.000  0.500 [4 per cell]
Te  0.250  0.250  0.750 [4 per cell]
Br  0.250  0.250  0.250 [4 per cell]

N(E_F) in states/eV/f.u.: 3.7
Uncorrected formation energy in kJ/mol of formula units: -361
V in Å³/atom: 28.44
Relative energy among the computed polymorphs in meV per atom: 267
Electronic total energy in eV/cell: -563.25

=====

LaTeBr2: single point on PBEsol structure, SCAN.

abc: 4.672 4.638 5.861
angles: 90.00 108.21 90.00
Space group Pm (No. 6)
Asymmetric unit:
La  0.000  0.000  0.000 [1 per cell]
Te  0.575  0.500  0.153 [1 per cell]
Br  0.178  0.000  0.535 [1 per cell]
Br  0.716  0.500  0.687 [1 per cell]

N(E_F) in states/eV/f.u.: 1.0
Uncorrected formation energy in kJ/mol of formula units: -588
V in Å³/atom: 30.15
Electronic total energy in eV/cell: -125.36